Entry from Alexandria: a relaxed Tb4HoZn crystal (PBE).

Computed properties:
The value obtained for the theoretical density is 8295 kg/m3. For the energy above the lowest structure with this stoichiometry, the calculation gives 0.0000 eV/atom. Its crystal system is tetragonal. For the density of states at the Fermi level, the calculation gives 7.45 states/eV per cell. The value obtained for the total energy is -24.975 eV/cell. Its space group is P4/mmm, No. 123.

Cell: 3.5598 3.5598 13.6817 Å, 90.00 90.00 90.00°
Closest atoms and distances in Å follow each position.
Sites, in units of the cell vectors:
Tb  0.0000  0.0000  0.1308  4 Zn 3.09
Tb  0.0000  0.0000  0.8692  4 Zn 3.09
Tb  0.5000  0.5000  0.3177  4 Ho 3.54, 8 Tb 3.56-3.59
Tb  0.5000  0.5000  0.6823  4 Ho 3.54, 8 Tb 3.56-3.59
Ho  0.0000  0.0000  0.5000  8 Tb 3.54, 4 Ho 3.56
Zn  0.5000  0.5000  0.0000  8 Tb 3.09